[1]
A relaxed structure of Sc4ZnRu, computed with PBE.

Cell and atoms, written as POSCAR:
```
Sc4ZnRu
1.0
3.268 -3.965 2.021
-1.009 -5.292 -1.208
3.398 -2.760 -3.365
Sc Zn Ru
4 1 1
direct
0.881 0.373 0.373 Sc
0.373 0.373 0.881 Sc
0.373 0.881 0.373 Sc
0.373 0.373 0.373 Sc
0.750 0.750 0.750 Zn
0.000 0.000 0.000 Ru
```

Magnetic moment (μB/cell): 0.0
Distance to the lowest polymorph of the same formula (eV per atom): 0.761
VASP energy (eV/atom): -5.5528
Fermi-level density of states (states/eV per cell): 8.53

---

[2]
A relaxed structure of HoZnNi2, computed with PBE.

Cell and atoms, written as POSCAR:
```
HoZnNi2
1.0
4.776 0.000 0.000
0.000 5.133 0.000
0.000 0.000 11.741
Ho Zn Ni
4 4 8
direct
0.000 0.250 0.589 Ho
0.500 0.750 0.104 Ho
0.000 0.750 0.411 Ho
0.500 0.250 0.896 Ho
0.500 0.750 0.679 Zn
0.500 0.250 0.321 Zn
0.000 0.250 0.309 Zn
0.000 0.750 0.691 Zn
0.000 0.000 0.000 Ni
0.500 0.500 0.500 Ni
0.255 0.750 0.865 Ni
0.745 0.250 0.135 Ni
0.745 0.750 0.865 Ni
0.255 0.250 0.135 Ni
0.000 0.500 0.000 Ni
0.500 0.000 0.500 Ni
```

Magnetic moment (μB/cell): 0.0
VASP energy (eV/atom): -4.4955
Fermi-level density of states (states/eV per cell): 12.70

---

[3]
A relaxed structure of PbBrCl4, computed with PBE.

Cell and atoms, written as POSCAR:
```
PbBrCl4
1.0
6.609 1.324 0.000
-0.056 7.617 0.000
-3.276 -4.470 7.838
Pb Br Cl
2 2 8
direct
0.932 0.182 0.364 Pb
0.068 0.818 0.636 Pb
0.266 0.516 0.032 Br
0.734 0.484 0.968 Br
0.273 0.065 0.578 Cl
0.193 0.830 0.035 Cl
0.195 0.488 0.422 Cl
0.658 0.794 0.965 Cl
0.727 0.935 0.422 Cl
0.805 0.512 0.578 Cl
0.807 0.170 0.965 Cl
0.342 0.206 0.035 Cl
```

Magnetic moment (μB/cell): 0.0
Distance to the lowest polymorph of the same formula (eV per atom): 0.014
VASP energy (eV/atom): -2.6080
Formation energy from raw total energies (eV per formula unit): -2.9
Fermi-level density of states (states/eV per cell): 10.84

---

[4]
A relaxed structure of LuNi2B, computed with PBE.

Cell and atoms, written as POSCAR:
```
LuNi2B
1.0
-1.981 0.347 -3.037
1.489 -0.741 -3.240
-1.540 -4.592 -1.705
Ni B Lu
2 1 1
direct
0.701 0.701 0.896 Ni
0.299 0.299 0.104 Ni
0.000 0.000 0.000 B
0.500 0.500 0.500 Lu
```

Magnetic moment (μB/cell): 0.0
VASP energy (eV/atom): -6.0298
Fermi-level density of states (states/eV per cell): 3.30

---

[5]
A relaxed structure of Ce12Al3H5, computed with PBE.

Cell and atoms, written as POSCAR:
```
Ce12Al3H5
1.0
13.441 0.000 0.000
-4.480 12.673 0.000
-4.480 -6.336 10.975
H Al Ce
20 12 48
direct
0.125 0.375 0.250 H
0.000 0.500 0.000 H
0.000 0.000 0.000 H
0.375 0.250 0.125 H
0.500 0.000 0.500 H
0.500 0.500 0.000 H
0.125 0.750 0.375 H
0.750 0.125 0.875 H
0.750 0.625 0.375 H
0.375 0.125 0.750 H
0.625 0.875 0.250 H
0.500 0.500 0.500 H
0.500 0.000 0.000 H
0.000 0.000 0.500 H
0.250 0.375 0.625 H
0.250 0.875 0.125 H
0.000 0.500 0.500 H
0.875 0.250 0.625 H
0.625 0.750 0.875 H
0.875 0.625 0.750 H
0.750 0.375 0.125 Al
0.875 0.750 0.125 Al
0.375 0.750 0.625 Al
0.250 0.125 0.375 Al
0.875 0.125 0.250 Al
0.375 0.625 0.250 Al
0.625 0.375 0.750 Al
0.125 0.875 0.750 Al
0.750 0.875 0.625 Al
0.625 0.250 0.375 Al
0.125 0.250 0.875 Al
0.250 0.625 0.875 Al
0.706 0.108 0.019 Ce
0.312 0.519 0.411 Ce
0.981 0.392 0.294 Ce
0.519 0.206 0.108 Ce
0.599 0.706 0.688 Ce
0.981 0.589 0.188 Ce
0.312 0.794 0.401 Ce
0.089 0.901 0.108 Ce
0.589 0.981 0.688 Ce
0.706 0.599 0.188 Ce
0.794 0.481 0.392 Ce
0.812 0.911 0.019 Ce
0.108 0.706 0.519 Ce
0.392 0.411 0.099 Ce
0.099 0.911 0.392 Ce
0.401 0.108 0.589 Ce
0.099 0.188 0.206 Ce
0.481 0.688 0.089 Ce
0.812 0.901 0.294 Ce
0.108 0.401 0.089 Ce
0.392 0.981 0.794 Ce
0.589 0.608 0.401 Ce
0.911 0.812 0.519 Ce
0.794 0.312 0.901 Ce
0.411 0.392 0.599 Ce
0.089 0.188 0.481 Ce
0.206 0.688 0.099 Ce
0.188 0.099 0.706 Ce
0.608 0.019 0.206 Ce
0.892 0.599 0.911 Ce
0.519 0.312 0.911 Ce
0.599 0.892 0.411 Ce
0.901 0.812 0.794 Ce
0.901 0.089 0.608 Ce
0.892 0.294 0.481 Ce
0.188 0.089 0.981 Ce
0.608 0.589 0.901 Ce
0.411 0.019 0.312 Ce
0.294 0.401 0.812 Ce
0.206 0.519 0.608 Ce
0.911 0.099 0.892 Ce
0.688 0.206 0.599 Ce
0.481 0.794 0.892 Ce
0.019 0.411 0.812 Ce
0.401 0.294 0.312 Ce
0.019 0.608 0.706 Ce
0.688 0.481 0.589 Ce
0.294 0.892 0.981 Ce
```

Magnetic moment (μB/cell): 57.8
VASP energy (eV/atom): -5.0147
Fermi-level density of states (states/eV per cell): 265.46

---

[6]
A relaxed structure of Th2CdHg3, computed with PBE.

Cell and atoms, written as POSCAR:
```
Th2CdHg3
1.0
6.043 -1.021 0.000
-1.255 5.998 0.000
-2.394 -2.488 8.770
Th Cd Hg
4 2 6
direct
0.250 0.750 0.500 Th
0.752 0.752 0.000 Th
0.750 0.250 0.500 Th
0.248 0.248 0.000 Th
0.667 0.667 0.333 Cd
0.333 0.333 0.667 Cd
0.336 0.832 0.168 Hg
0.168 0.664 0.832 Hg
0.664 0.168 0.832 Hg
0.832 0.336 0.168 Hg
0.168 0.168 0.336 Hg
0.832 0.832 0.664 Hg
```

Magnetic moment (μB/cell): 0.0
VASP energy (eV/atom): -3.0144
Fermi-level density of states (states/eV per cell): 11.86